DFT (meta-GGA SCAN) results for MoOs at its PBEsol-relaxed geometry.

Summary:
**Space group**: Fd-3m (227)
**Calculated formation energy**: 0.34 eV per atom
**Electronic total energy**: -106.09 eV per formula unit

abc: 4.3689 4.3689 4.3689
angles: 60.00 60.00 60.00
Closest atoms and distances in Å follow each position.
Atoms (fractional coordinates):
Os1 0.2500 0.2500 0.2500  4 Mo 2.68, 4 Os 2.68
Os2 0.0000 0.0000 0.0000  4 Os 2.68, 4 Mo 2.68
Mo1 0.5000 0.5000 0.5000  4 Mo 2.68, 4 Os 2.68
Mo2 0.7500 0.7500 0.7500  4 Mo 2.68, 4 Os 2.68